No. 1
# HoSnBi, relaxed, DFT PBE
data_HoSnBi
_chemical_formula_sum 'Ho2 Sn2 Bi2'
_space_group_name_H-M_alt 'I 4 m m'
_space_group_IT_number 107
_space_group_name_Hall 'I 4 -2'
_cell_length_a 3.378
_cell_length_b 3.378
_cell_length_c 16.558
_cell_angle_alpha 90.00
_cell_angle_beta 90.00
_cell_angle_gamma 90.00
loop_
_atom_site_label
_atom_site_type_symbol
_atom_site_fract_x
_atom_site_fract_y
_atom_site_fract_z
_atom_site_occupancy
Ho1 Ho 0.000 0.000 0.000 1
Sn1 Sn 0.000 0.000 0.377 1
Bi1 Bi 0.000 0.000 0.192 1
# V   31.49 Å³ per atom
# Offset from the most stable computed form   1.32 eV per formula unit
# Total magnetization   0.0 μB/cell
# Total DFT energy (no corrections)   -25.7 eV per cell
# Energy of formation   -0.37 eV/f.u.
# Fermi-level density of states   0.807 states/eV per atom

***

No. 2
# Ho4SnBi3, relaxed, DFT PBE
data_Ho4SnBi3
_chemical_formula_sum 'Ho4 Sn1 Bi3'
_space_group_name_H-M_alt 'P m -3 m'
_space_group_IT_number 221
_space_group_name_Hall '-P 4 2 3'
_cell_length_a 6.283
_cell_length_b 6.283
_cell_length_c 6.283
_cell_angle_alpha 90.00
_cell_angle_beta 90.00
_cell_angle_gamma 90.00
loop_
_atom_site_label
_atom_site_type_symbol
_atom_site_fract_x
_atom_site_fract_y
_atom_site_fract_z
_atom_site_occupancy
Ho1 Ho 0.000 0.000 0.000 1
Ho2 Ho 0.000 0.500 0.500 1
Sn1 Sn 0.500 0.500 0.500 1
Bi1 Bi 0.000 0.000 0.500 1
# V   31.00 Å³ per atom
# Total magnetization   0.0 μB/cell
# Total DFT energy (no corrections)   -39.9 eV per cell
# Energy of formation   -5.98 eV/f.u.
# Fermi-level density of states   0.487 states/eV per atom

***

No. 3
# Ho2SnBi, relaxed, DFT PBE
data_Ho2SnBi
_chemical_formula_sum 'Ho6 Sn3 Bi3'
_space_group_name_H-M_alt 'R -3 m'
_space_group_IT_number 166
_space_group_name_Hall '-R 3 2"'
_cell_length_a 4.2794
_cell_length_b 4.2794
_cell_length_c 23.0096
_cell_angle_alpha 90.00
_cell_angle_beta 90.00
_cell_angle_gamma 120.00
loop_
_atom_site_label
_atom_site_type_symbol
_atom_site_fract_x
_atom_site_fract_y
_atom_site_fract_z
_atom_site_occupancy
Ho1 Ho 0.0000 0.0000 0.2500 1
Sn1 Sn 0.0000 0.0000 0.0000 1
Bi1 Bi 0.0000 0.0000 0.5000 1
# V   30.41 Å³ per atom
# Offset from the most stable computed form   0.35 eV per formula unit
# Total magnetization   0.0 μB/cell
# Total DFT energy (no corrections)   -59.1 eV per cell
# Energy of formation   -2.67 eV/f.u.
# Fermi-level density of states   0.279 states/eV per atom

***

No. 4
# Ho8Sn2Bi, relaxed, DFT PBE
data_Ho8Sn2Bi
_chemical_formula_sum 'Ho16 Sn4 Bi2'
_space_group_name_H-M_alt 'C 1 2/m 1'
_space_group_IT_number 12
_cell_length_a 19.727
_cell_length_b 4.932
_cell_length_c 6.977
_cell_angle_alpha 90.00
_cell_angle_beta 102.22
_cell_angle_gamma 90.00
loop_
_space_group_symop_operation_xyz
'x,y,z'
'-x,-y,-z'
'-x,y,-z'
'x,-y,z'
'x+1/2,y+1/2,z'
'-x+1/2,-y+1/2,-z'
'-x+1/2,y+1/2,-z'
'x+1/2,-y+1/2,z'
loop_
_atom_site_label
_atom_site_type_symbol
_atom_site_fract_x
_atom_site_fract_y
_atom_site_fract_z
_atom_site_occupancy
Ho1 Ho 0.025 0.000 0.255 1
Ho2 Ho 0.095 0.500 0.987 1
Ho3 Ho 0.161 0.500 0.511 1
Ho4 Ho 0.218 0.000 0.836 1
Sn1 Sn 0.183 0.000 0.264 1
Bi1 Bi 0.000 0.500 0.500 1
# V   30.16 Å³ per atom
# Total magnetization   0.0 μB/cell
# Total DFT energy (no corrections)   -105.1 eV per cell
# Energy of formation   -4.04 eV/f.u.
# Fermi-level density of states   1.087 states/eV per atom

***

No. 5
# Ho3SnBi2, relaxed, DFT PBE
data_Ho3SnBi2
_chemical_formula_sum 'Ho12 Sn4 Bi8'
_space_group_name_H-M_alt 'C 1 2/c 1'
_space_group_IT_number 15
_cell_length_a 7.759
_cell_length_b 13.365
_cell_length_c 7.566
_cell_angle_alpha 90.00
_cell_angle_beta 109.71
_cell_angle_gamma 90.00
loop_
_space_group_symop_operation_xyz
'x,y,z'
'-x,-y,-z'
'-x,y,-z+1/2'
'x,-y,z+1/2'
'x+1/2,y+1/2,z'
'-x+1/2,-y+1/2,-z'
'-x+1/2,y+1/2,-z+1/2'
'x+1/2,-y+1/2,z+1/2'
loop_
_atom_site_label
_atom_site_type_symbol
_atom_site_fract_x
_atom_site_fract_y
_atom_site_fract_z
_atom_site_occupancy
Ho1 Ho 0.244 0.082 0.496 1
Ho2 Ho 0.250 0.250 0.000 1
Sn1 Sn 0.000 0.086 0.750 1
Bi1 Bi 0.000 0.253 0.250 1
Bi2 Bi 0.000 0.417 0.750 1
# V   30.78 Å³ per atom
# Total magnetization   0.0 μB/cell
# Total DFT energy (no corrections)   -119.2 eV per cell
# Energy of formation   -4.31 eV/f.u.
# Fermi-level density of states   0.453 states/eV per atom

***

No. 6
# HoSnBi2, relaxed, DFT PBE
data_HoSnBi2
_chemical_formula_sum 'Ho3 Sn3 Bi6'
_space_group_name_H-M_alt 'R -3 m'
_space_group_IT_number 166
_space_group_name_Hall '-R 3 2"'
_cell_length_a 4.7110
_cell_length_b 4.7110
_cell_length_c 26.6277
_cell_angle_alpha 90.00
_cell_angle_beta 90.00
_cell_angle_gamma 120.00
loop_
_atom_site_label
_atom_site_type_symbol
_atom_site_fract_x
_atom_site_fract_y
_atom_site_fract_z
_atom_site_occupancy
Ho1 Ho 0.0000 0.0000 0.0000 1
Sn1 Sn 0.0000 0.0000 0.5000 1
Bi1 Bi 0.0000 0.0000 0.3913 1
# V   42.65 Å³ per atom
# Offset from the most stable computed form   1.98 eV per formula unit
# Total magnetization   0.0 μB/cell
# Total DFT energy (no corrections)   -47.1 eV per cell
# Energy of formation   0.66 eV/f.u.
# Fermi-level density of states   0.864 states/eV per atom

***

No. 7
# Ho4SnBi2, relaxed, DFT PBE
data_Ho4SnBi2
_chemical_formula_sum 'Ho16 Sn4 Bi8'
_space_group_name_H-M_alt 'I 41/a m d'
_space_group_IT_number 141
_cell_length_a 9.719
_cell_length_b 9.719
_cell_length_c 9.510
_cell_angle_alpha 90.00
_cell_angle_beta 90.00
_cell_angle_gamma 90.00
loop_
_space_group_symop_operation_xyz
'x,y,z'
'-x,-y,-z'
'-y+1/4,x+3/4,z+1/4'
'y+1/4,-x+3/4,-z+1/4'
'-x+1/2,-y,z+1/2'
'x+1/2,y,-z+1/2'
'y+1/4,-x+1/4,z+3/4'
'-y+1/4,x+1/4,-z+3/4'
'x,-y,-z'
'-x,y,z'
'-y+1/4,-x+1/4,-z+3/4'
'y+1/4,x+1/4,z+3/4'
'-x+1/2,y,-z+1/2'
'x+1/2,-y,z+1/2'
'y+1/4,x+3/4,-z+1/4'
'-y+1/4,-x+3/4,z+1/4'
'x+1/2,y+1/2,z+1/2'
'-x+1/2,-y+1/2,-z+1/2'
'-y+3/4,x+1/4,z+3/4'
'y+3/4,-x+1/4,-z+3/4'
'-x,-y+1/2,z'
'x,y+1/2,-z'
'y+3/4,-x+3/4,z+1/4'
'-y+3/4,x+3/4,-z+1/4'
'x+1/2,-y+1/2,-z+1/2'
'-x+1/2,y+1/2,z+1/2'
'-y+3/4,-x+3/4,-z+1/4'
'y+3/4,x+3/4,z+1/4'
'-x,y+1/2,-z'
'x,-y+1/2,z'
'y+3/4,x+1/4,-z+3/4'
'-y+3/4,-x+1/4,z+3/4'
loop_
_atom_site_label
_atom_site_type_symbol
_atom_site_fract_x
_atom_site_fract_y
_atom_site_fract_z
_atom_site_occupancy
Ho1 Ho 0.000 0.060 0.184 1
Sn1 Sn 0.000 0.250 0.875 1
Bi1 Bi 0.000 0.000 0.500 1
# V   32.08 Å³ per atom
# Total magnetization   0.0 μB/cell
# Total DFT energy (no corrections)   -135.2 eV per cell
# Energy of formation   -3.72 eV/f.u.
# Fermi-level density of states   0.771 states/eV per atom

***

No. 8
# HoSn2Bi, relaxed, DFT PBE
data_HoSn2Bi
_chemical_formula_sum 'Ho3 Sn6 Bi3'
_space_group_name_H-M_alt 'R -3 m'
_space_group_IT_number 166
_space_group_name_Hall '-R 3 2"'
_cell_length_a 5.0485
_cell_length_b 5.0485
_cell_length_c 23.4179
_cell_angle_alpha 90.00
_cell_angle_beta 90.00
_cell_angle_gamma 120.00
loop_
_atom_site_label
_atom_site_type_symbol
_atom_site_fract_x
_atom_site_fract_y
_atom_site_fract_z
_atom_site_occupancy
Ho1 Ho 0.0000 0.0000 0.0000 1
Sn1 Sn 0.0000 0.0000 0.3772 1
Bi1 Bi 0.0000 0.0000 0.5000 1
# V   43.08 Å³ per atom
# Offset from the most stable computed form   2.71 eV per formula unit
# Total magnetization   0.0 μB/cell
# Total DFT energy (no corrections)   -45.4 eV per cell
# Energy of formation   1.33 eV/f.u.
# Fermi-level density of states   0.707 states/eV per atom